(1)
{
  "formula": "Al2Cd2Pb3",
  "functional": "GGA-PBE",
  "state": "optimized geometry",
  "spacegroup": "No. 160",
  "lattice_angstrom": [[2.6072, 1.5053, 8.2407], [-2.6072, 1.5053, 8.2407], [0.0000, -3.0105, 8.2407]],
  "species": ["Al", "Al", "Cd", "Cd", "Pb", "Pb", "Pb"],
  "fractional_positions": [[0.0000, 0.0000, 0.0000], [0.4901, 0.4901, 0.4901], [0.2250, 0.2250, 0.2250], [0.7497, 0.7497, 0.7497], [0.3682, 0.3682, 0.3682], [0.6192, 0.6192, 0.6192], [0.8706, 0.8706, 0.8706]]
}

---

(2)
{
  "formula": "Al2CdPb",
  "functional": "GGA-PBE",
  "state": "optimized geometry",
  "spacegroup": "No. 216",
  "lattice_angstrom": [[0.0000, 3.5877, 3.5877], [3.5877, 0.0000, 3.5877], [3.5877, 3.5877, 0.0000]],
  "species": ["Al", "Al", "Cd", "Pb"],
  "fractional_positions": [[0.0000, 0.0000, 0.0000], [0.2500, 0.2500, 0.2500], [0.7500, 0.7500, 0.7500], [0.5000, 0.5000, 0.5000]]
}

---

(3)
{
  "formula": "Al2CdPd",
  "functional": "GGA-PBE",
  "state": "optimized geometry",
  "spacegroup": "No. 216",
  "lattice_angstrom": [[0.0000, 3.2515, 3.2515], [3.2515, 0.0000, 3.2515], [3.2515, 3.2515, 0.0000]],
  "species": ["Al", "Al", "Cd", "Pd"],
  "fractional_positions": [[0.0000, 0.0000, 0.0000], [0.2500, 0.2500, 0.2500], [0.7500, 0.7500, 0.7500], [0.5000, 0.5000, 0.5000]]
}

---

(4)
{
  "formula": "ScAlCdPd",
  "functional": "GGA-PBE",
  "state": "optimized geometry",
  "magmom_total_mub_per_atom": 0.00,
  "polymorph_energy_mev_per_atom": 0,
  "spacegroup": "No. 216",
  "lattice_angstrom": [[0.0000, 3.2916, 3.2916], [3.2916, 0.0000, 3.2916], [3.2916, 3.2916, 0.0000]],
  "species": ["Sc", "Al", "Cd", "Pd"],
  "fractional_positions": [[0.0000, 0.0000, 0.0000], [0.5000, 0.5000, 0.5000], [0.2500, 0.2500, 0.2500], [0.7500, 0.7500, 0.7500]]
}

---

(5)
{
  "formula": "ScAlCdPd",
  "functional": "GGA-PBE",
  "state": "optimized geometry",
  "magmom_total_mub_per_atom": 0.00,
  "polymorph_energy_mev_per_atom": 73,
  "spacegroup": "No. 216",
  "lattice_angstrom": [[0.0000, 3.3088, 3.3088], [3.3088, 0.0000, 3.3088], [3.3088, 3.3088, 0.0000]],
  "species": ["Sc", "Al", "Cd", "Pd"],
  "fractional_positions": [[0.0000, 0.0000, 0.0000], [0.2500, 0.2500, 0.2500], [0.5000, 0.5000, 0.5000], [0.7500, 0.7500, 0.7500]]
}

---

(6)
{
  "formula": "ScAlCdPd",
  "functional": "GGA-PBE",
  "state": "optimized geometry",
  "magmom_total_mub_per_atom": 0.00,
  "polymorph_energy_mev_per_atom": 67,
  "spacegroup": "No. 216",
  "lattice_angstrom": [[0.0000, 3.2895, 3.2895], [3.2895, 0.0000, 3.2895], [3.2895, 3.2895, 0.0000]],
  "species": ["Sc", "Al", "Cd", "Pd"],
  "fractional_positions": [[0.0000, 0.0000, 0.0000], [0.7500, 0.7500, 0.7500], [0.2500, 0.2500, 0.2500], [0.5000, 0.5000, 0.5000]]
}

---

(7)
{
  "formula": "PmAlCd",
  "functional": "GGA-PBE",
  "state": "optimized geometry",
  "magmom_total_mub_per_atom": 0.00,
  "spacegroup": "No. 216",
  "lattice_angstrom": [[0.0000, 3.5223, 3.5223], [3.5223, 0.0000, 3.5223], [3.5223, 3.5223, 0.0000]],
  "species": ["Pm", "Al", "Cd"],
  "fractional_positions": [[0.0000, 0.0000, 0.0000], [0.7500, 0.7500, 0.7500], [0.2500, 0.2500, 0.2500]]
}

---

(8)
{
  "formula": "Al2CdPt",
  "functional": "GGA-PBE",
  "state": "optimized geometry",
  "magmom_total_mub_per_atom": 0.00,
  "spacegroup": "No. 216",
  "lattice_angstrom": [[0.0000, 3.2471, 3.2471], [3.2471, 0.0000, 3.2471], [3.2471, 3.2471, 0.0000]],
  "species": ["Al", "Al", "Cd", "Pt"],
  "fractional_positions": [[0.0000, 0.0000, 0.0000], [0.2500, 0.2500, 0.2500], [0.7500, 0.7500, 0.7500], [0.5000, 0.5000, 0.5000]]
}

---

(9)
{
  "formula": "AlCd2Pt",
  "functional": "GGA-PBE",
  "state": "optimized geometry",
  "magmom_total_mub_per_atom": 0.00,
  "spacegroup": "No. 216",
  "lattice_angstrom": [[0.0000, 3.2777, 3.2777], [3.2777, 0.0000, 3.2777], [3.2777, 3.2777, 0.0000]],
  "species": ["Al", "Cd", "Cd", "Pt"],
  "fractional_positions": [[0.0000, 0.0000, 0.0000], [0.5000, 0.5000, 0.5000], [0.7500, 0.7500, 0.7500], [0.2500, 0.2500, 0.2500]]
}

---

(10)
{
  "formula": "SrAlCdPt2",
  "functional": "GGA-PBE",
  "state": "optimized geometry",
  "magmom_total_mub_per_atom": 0.00,
  "spacegroup": "No. 119",
  "lattice_angstrom": [[-2.1500, 2.1500, 5.8831], [2.1500, -2.1500, 5.8831], [2.1500, 2.1500, -5.8831]],
  "species": ["Sr", "Al", "Cd", "Pt", "Pt"],
  "fractional_positions": [[0.0000, 0.0000, 0.0000], [0.2500, 0.7500, 0.5000], [0.7500, 0.2500, 0.5000], [0.3869, 0.3869, 0.0000], [0.6131, 0.6131, 0.0000]]
}

---

(11)
{
  "formula": "RbAlCdTe3",
  "functional": "GGA-PBE",
  "state": "optimized geometry",
  "spacegroup": "No. 63",
  "lattice_angstrom": [[2.1502, -8.2529, 0.0000], [2.1502, 8.2529, 0.0000], [0.0000, 0.0000, 12.1411]],
  "species": ["Rb", "Rb", "Al", "Al", "Cd", "Cd", "Te", "Te", "Te", "Te", "Te", "Te"],
  "fractional_positions": [[0.2495, 0.7505, 0.7500], [0.7505, 0.2495, 0.2500], [0.0351, 0.9649, 0.2500], [0.9649, 0.0351, 0.7500], [0.5000, 0.5000, 0.0000], [0.5000, 0.5000, 0.5000], [0.1186, 0.8814, 0.0666], [0.1186, 0.8814, 0.4334], [0.4347, 0.5653, 0.2500], [0.5653, 0.4347, 0.7500], [0.8814, 0.1186, 0.5666], [0.8814, 0.1186, 0.9334]]
}

---

(12)
{
  "formula": "Al2CdRe",
  "functional": "GGA-PBE",
  "state": "optimized geometry",
  "magmom_total_mub_per_atom": 0.00,
  "spacegroup": "No. 216",
  "lattice_angstrom": [[0.0000, 3.1979, 3.1979], [3.1979, 0.0000, 3.1979], [3.1979, 3.1979, 0.0000]],
  "species": ["Al", "Al", "Cd", "Re"],
  "fractional_positions": [[0.0000, 0.0000, 0.0000], [0.2500, 0.2500, 0.2500], [0.7500, 0.7500, 0.7500], [0.5000, 0.5000, 0.5000]]
}

---

no.,total energy (eV/cell),theoretical density (Mg/m³)
1,-18.524,7.71
2,-10.975,6.72
3,-14.007,6.59
4,-18.343,6.77
5,-18.050,6.66
6,-18.075,6.78
7,-8.773,5.40
8,-14.960,8.77
9,-12.312,10.54
10,-21.980,9.42
11,-37.529,4.68
12,-18.910,8.95